BaLi2Al PBE relaxed; DOS(E_F) = 1.301 states/eV per atom; density = 2.6 Mg/m³; space group = I-4m2, No. 119
1.0
5.6049 -0.0791 0.0000
0.8538 5.5401 0.0000
-3.2293 -2.7305 3.6793
Al Ba Li
1 1 2
Direct
0.5000 0.5000 0.0000
0.7500 0.2500 0.5000
0.2500 0.7500 0.5000
0.0000 0.0000 0.0000

***

BaLi8Al4 PBE relaxed; DOS(E_F) = 0.586 states/eV per atom; density = 1.9 Mg/m³; space group = I4/mmm, No. 139
1.0
5.0779 0.0000 2.0411
2.5389 6.9755 1.0205
-0.0626 0.0000 7.4928
Li Al Ba
8 4 1
Direct
0.7379 0.7621 0.7621
0.0000 0.6531 0.3469
0.2621 0.2379 0.2379
0.0000 0.3469 0.6531
0.5000 0.7621 0.2379
0.3469 0.6531 0.6531
0.5000 0.2379 0.7621
0.6531 0.3469 0.3469
0.5000 0.0000 0.5000
0.0000 0.0000 0.5000
0.0000 0.5000 0.0000
0.5000 0.5000 0.0000
0.0000 0.0000 0.0000

***

BaLi6Al12 PBE relaxed; DOS(E_F) = 0.376 states/eV per atom; density = 2.4 Mg/m³; space group = R-3m, No. 166
1.0
-3.3557 0.8203 -6.5020
3.4867 -6.4626 -0.5356
-5.4827 -1.2597 4.7500
Al Li Ba
12 6 1
Direct
0.8837 0.1163 0.5000
0.1163 0.8837 0.5000
0.8374 0.5809 0.5809
0.5809 0.5809 0.8374
0.5809 0.8374 0.5809
0.5000 0.1163 0.8837
0.8837 0.5000 0.1163
0.4191 0.1626 0.4191
0.4191 0.4191 0.1626
0.1626 0.4191 0.4191
0.5000 0.8837 0.1163
0.1163 0.5000 0.8837
0.7115 0.2652 0.2652
0.2885 0.7348 0.7348
0.2652 0.2652 0.7115
0.7348 0.2885 0.7348
0.2652 0.7115 0.2652
0.7348 0.7348 0.2885
0.0000 0.0000 0.0000

***

no.,calculated volume (A^3/atom),energy of formation from the pure elements (eV per atom)
1,28.62,0.088
2,20.48,-0.113
3,18.58,0.057